Here is an optimized crystal structure of ScTi2InF from the Alexandria database. Energies are from GGA-PBE.

Values from the calculation:
Total magnetization: 4.90 μB/f.u.
Formation energy (no corrections): 0.71 eV per atom
Calculated total energy: -4.6342 eV per atom

extended XYZ file:
```
5
Lattice="5.216 0.000 0.000 0.000 5.216 0.000 0.000 0.000 5.441" Properties=species:S:1:pos:R:3 pbc="T T T"
Sc 0.000 0.000 0.000
Ti 0.000 2.608 2.720
Ti 2.608 0.000 2.720
In 0.000 0.000 2.720
F 2.608 2.608 0.000
```